VASP calculation (PBE-GGA) on a geometry-optimized Hf2NbCoCl structure.

```
Hf2NbCoCl
1.0
-3.630 2.855 -1.762
0.086 -2.063 -3.520
-3.353 -3.169 1.775
Hf Nb Cl Co
2 1 1 1
direct
0.000 0.000 0.500 Hf
0.500 0.000 0.000 Hf
0.500 0.500 0.500 Nb
0.000 0.500 0.000 Cl
0.000 0.000 0.000 Co
```

Calculated values
Formation energy from raw total energies, meV per atom: 704
DOS(E_F), states/eV per atom: 1.02
Space group: P4/mmm